This record from Alexandria via LeMat-Bulk describes a geometry-optimized Pr2GaSn4 structure. The functional is GGA-PBE.

Cell: 9.0629 9.1042 9.7282 Å, 90.00 90.00 90.00°
Closest atoms and distances in Å follow each position.
Space group Fmm2 (No. 42)
Unique sites:
1 Pr 0.2500 0.2500 0.0000 (multiplicity 8)  2 Ga 3.21, 8 Sn 3.32-3.33
2 Ga 0.0000 0.0000 0.4968 (multiplicity 4)  4 Pr 3.21, 8 Sn 3.30-3.36
3 Sn 0.0000 0.2481 0.2495 (multiplicity 8)  4 Sn 3.21, 2 Ga 3.30-3.36, 4 Pr 3.32-3.33
4 Sn 0.2479 0.0000 0.7501 (multiplicity 8)  4 Sn 3.21, 2 Ga 3.31-3.33, 4 Pr 3.33

Results
- Formation enthalpy at 0 K: -491.7 meV/atom
- DOS at the Fermi energy: 3.60 states/eV/f.u.